[1]
The following is a DFT calculation (GGA-PBEsol) of a relaxed structure of TaFe2Pt.

a = 3.802 Å, b = 3.802 Å, c = 3.660 Å
α = 90.00°, β = 90.00°, γ = 90.00°
Space group P4/mmm (No. 123)
One atom of each set of equivalent atoms:
Ta  0.000  0.000  0.000 [1 per cell]
Fe  0.000  0.500  0.500 [2 per cell]
Pt  0.500  0.500  0.000 [1 per cell]

Properties
Raw total energy   -0.7126 Ry/atom
Calculated formation energy   -0.34 eV per atom



[2]
The following is a DFT calculation (GGA-PBEsol) of a relaxed structure of TaFePt.

a = 5.852 Å, b = 5.852 Å, c = 5.852 Å
α = 90.00°, β = 90.00°, γ = 90.00°
Space group F-43m (No. 216)
One atom of each set of equivalent atoms:
Ta  0.000  0.000  0.000 [4 per cell]
Fe  0.250  0.250  0.750 [4 per cell]
Pt  0.250  0.250  0.250 [4 per cell]

Properties
Raw total energy   -0.6819 Ry/atom
Calculated formation energy   0.22 eV per atom



[3]
The following is a DFT calculation (GGA-PBEsol) of a relaxed structure of TaFePt.

a = 4.3149 Å, b = 4.3149 Å, c = 2.6918 Å
α = 90.00°, β = 90.00°, γ = 120.00°
Space group P3m1 (No. 156)
One atom of each set of equivalent atoms:
Ta  0.0000  0.0000  0.0000 [1 per cell]
Fe  0.3333  0.6667  0.2211 [1 per cell]
Pt  0.6667  0.3333  0.5888 [1 per cell]

Properties
Raw total energy   -0.7126 Ry/atom
Calculated formation energy   -0.20 eV per atom



Record order is preserved below.
Volume: 13.227; 16.701; 14.467 Å³/atom